(1)
Density functional theory data (GGA-PBE) for an optimized crystal structure of Ca2ReW.

Lattice parameters (Å, degrees): 3.2878 3.2876 9.1027 90.00 90.11 90.00
With the nearest neighbours (Å) after each atom.
Atoms (fractional coordinates):
Ca 0.0000 0.0000 0.0000  4 Re 3.17-3.18, 4 Ca 3.29, 1 W 3.34
Ca 0.4985 0.5000 0.3836  4 W 3.25, 4 Ca 3.29, 1 Re 3.45
Re 0.4995 0.5000 0.7625  4 W 2.61
W 0.9991 0.0000 0.6329  4 Re 2.61

Computed properties:
The formation energy comes out at 0.373 eV/atom. Its energy above the lowest structure with this stoichiometry is 0 meV per atom. The value obtained for the uncorrected energy is -27.91 eV/cell. Its space group is No. 6.

(2)
Density functional theory data (GGA-PBE) for an optimized crystal structure of Ta5V2H12.

Lattice parameters (Å, degrees): 5.3836 5.3836 6.3204 97.83 97.83 57.05
With the nearest neighbours (Å) after each atom.
Atoms (fractional coordinates):
Ta 0.0000 0.0000 0.0000  6 H 2.01-2.04
Ta 0.2730 0.2730 0.6813  5 H 1.89-2.00
Ta 0.3537 0.3537 0.1185  7 H 1.92-2.08
Ta 0.6463 0.6463 0.8815  7 H 1.92-2.08
Ta 0.7270 0.7270 0.3187  5 H 1.89-2.00
V 0.2316 0.7684 0.5000  6 H 1.78-1.81
V 0.7684 0.2316 0.5000  6 H 1.78-1.81
H 0.0457 0.6092 0.8958  4 Ta 2.00-2.04, 3 H 2.14-2.16
H 0.0641 0.0641 0.3239  2 V 1.80
H 0.1370 0.5028 0.3999  1 V 1.78, 1 H 1.88, 1 Ta 1.89
H 0.3908 0.9543 0.1042  4 Ta 2.00-2.04, 3 H 2.14-2.16
H 0.4741 0.4741 0.6745  2 V 1.81, 2 Ta 1.91-1.92
H 0.4972 0.8630 0.6001  1 V 1.78, 1 H 1.88, 1 Ta 1.89
H 0.5028 0.1370 0.3999  1 V 1.78, 1 H 1.88, 1 Ta 1.89
H 0.5259 0.5259 0.3255  2 V 1.81, 2 Ta 1.91-1.92
H 0.6092 0.0457 0.8958  4 Ta 2.00-2.04, 3 H 2.14-2.16
H 0.8630 0.4972 0.6001  1 V 1.78, 1 H 1.88, 1 Ta 1.89
H 0.9359 0.9359 0.6761  2 V 1.80
H 0.9543 0.3908 0.1042  4 Ta 2.00-2.04, 3 H 2.14-2.16

Computed properties:
The value obtained for the uncorrected energy is -118.80 eV/cell. Its space group is No. 12.

(3)
Density functional theory data (GGA-PBE) for an optimized crystal structure of Dy6Tl2C.

Lattice parameters (Å, degrees): 3.5879 8.7055 8.7055 119.99 90.00 90.00
With the nearest neighbours (Å) after each atom.
Atoms (fractional coordinates):
Dy 0.0000 0.0000 0.0000  2 C 2.59
Dy 0.0000 0.5725 0.7865  2 C 2.58
Dy 0.0000 0.7865 0.5725  2 C 2.58
Dy 0.5000 0.1951 0.7878  4 Tl 3.19, 1 C 3.55, 4 Dy 3.56-3.57
Dy 0.5000 0.3781 0.3781  4 Tl 3.19, 1 C 3.55, 4 Dy 3.56
Dy 0.5000 0.7878 0.1951  4 Tl 3.19, 1 C 3.55, 4 Dy 3.56-3.57
Tl 0.0000 0.1207 0.4547  9 Dy 3.19-3.55
Tl 0.0000 0.4547 0.1207  9 Dy 3.19-3.55
C 0.5000 0.7859 0.7859  6 Dy 2.58-2.59

Computed properties:
The formation energy comes out at -0.151 eV/atom. Its energy above the lowest structure with this stoichiometry is 194 meV per atom. The value obtained for the uncorrected energy is -42.93 eV/cell. Its space group is No. 38.

(4)
Density functional theory data (GGA-PBE) for an optimized crystal structure of LaTbPm2Sb4.

Lattice parameters (Å, degrees): 7.7989 4.5092 7.8046 90.00 109.46 90.00
With the nearest neighbours (Å) after each atom.
Atoms (fractional coordinates):
La 0.0000 0.0000 0.0000  6 Sb 3.21
Tb 0.5000 0.5000 0.0000  6 Sb 3.16
Pm 0.0000 0.5000 0.5000  6 Sb 3.21
Pm 0.5000 0.0000 0.5000  6 Sb 3.16
Sb 0.2560 0.0000 0.7518  3 Pm 3.16-3.21, 2 Tb 3.16, 1 La 3.21
Sb 0.2562 0.5000 0.2523  1 Tb 3.16, 3 Pm 3.16-3.21, 2 La 3.21
Sb 0.7440 0.0000 0.2482  3 Pm 3.16-3.21, 2 Tb 3.16, 1 La 3.21
Sb 0.7438 0.5000 0.7477  1 Tb 3.16, 3 Pm 3.16-3.21, 2 La 3.21

Computed properties:
The energy relative to the elements, uncorrected comes out at -1.19 eV per atom. The value obtained for the uncorrected energy is -45.09 eV/cell. Its space group is No. 10.

(5)
Density functional theory data (GGA-PBE) for an optimized crystal structure of Tb4ErHg.

Lattice parameters (Å, degrees): 3.5760 3.5760 14.0138 90.00 90.00 90.00
With the nearest neighbours (Å) after each atom.
Atoms (fractional coordinates):
Tb 0.0000 0.0000 0.1446  4 Hg 3.24, 8 Tb 3.56-3.58
Tb 0.0000 0.0000 0.8554  4 Hg 3.24, 8 Tb 3.56-3.58
Tb 0.5000 0.5000 0.3234  4 Er 3.54, 8 Tb 3.56-3.58
Tb 0.5000 0.5000 0.6766  4 Er 3.54, 8 Tb 3.56-3.58
Er 0.0000 0.0000 0.5000  8 Tb 3.54, 4 Er 3.58
Hg 0.5000 0.5000 0.0000  8 Tb 3.24, 4 Hg 3.58

Computed properties:
The formation energy comes out at -0.145 eV/atom. Its energy above the lowest structure with this stoichiometry is 0 meV per atom. The value obtained for the uncorrected energy is -24.25 eV/cell. Its space group is No. 123.

(6)
Density functional theory data (GGA-PBE) for an optimized crystal structure of IrAu.

Lattice parameters (Å, degrees): 4.8766 4.8766 4.8766 131.00 131.00 71.81
With the nearest neighbours (Å) after each atom.
Atoms (fractional coordinates):
Ir 0.3750 0.6250 0.7500  8 Au 2.83-2.86, 4 Ir 2.83
Ir 0.6250 0.3750 0.2500  8 Au 2.83-2.86, 4 Ir 2.83
Au 0.1250 0.8750 0.2500  8 Ir 2.83-2.86, 4 Au 2.83
Au 0.8750 0.1250 0.7500  8 Ir 2.83-2.86, 4 Au 2.83

Computed properties:
The formation energy comes out at 0.464 eV/atom. Its energy above the lowest structure with this stoichiometry is 277 meV per atom. The value obtained for the uncorrected energy is -22.42 eV/cell. Its space group is No. 141.

(7)
Density functional theory data (GGA-PBE) for an optimized crystal structure of Mg2CrH.

Lattice parameters (Å, degrees): 5.4109 5.4109 5.4109 116.60 116.60 95.99
With the nearest neighbours (Å) after each atom.
Atoms (fractional coordinates):
Mg 0.3750 0.2489 0.3739  2 H 1.83
Mg 0.7511 0.1250 0.1261  2 H 1.83
Mg 0.8750 0.0011 0.6261  2 H 1.83
Mg 0.9989 0.6250 0.8739  2 H 1.83
Cr 0.2500 0.7500 0.5000  4 Mg 2.72
Cr 0.5000 0.5000 0.0000  4 Mg 2.72
H 0.0000 0.0000 0.0000  4 Mg 1.83
H 0.7500 0.2500 0.5000  4 Mg 1.83

Computed properties:
Its energy above the lowest structure with this stoichiometry is 0 meV per atom. The value obtained for the uncorrected energy is -26.03 eV/cell. Its space group is No. 122.

(8)
Density functional theory data (GGA-PBE) for an optimized crystal structure of Ta4Te5.

Lattice parameters (Å, degrees): 8.1959 8.1959 6.9879 90.00 90.00 120.00
With the nearest neighbours (Å) after each atom.
Atoms (fractional coordinates):
Ta 0.0000 0.0000 0.0000  6 Te 2.80
Ta 0.0000 0.0000 0.5000  6 Te 2.80
Ta 0.0000 0.3956 0.2500  7 Te 2.77-3.06
Ta 0.0000 0.6044 0.7500  7 Te 2.77-3.06
Ta 0.3956 0.0000 0.2500  7 Te 2.77-3.06
Ta 0.3956 0.3956 0.7500  7 Te 2.77-3.06
Ta 0.6044 0.0000 0.7500  7 Te 2.77-3.06
Ta 0.6044 0.6044 0.2500  7 Te 2.77-3.06
Te 0.0000 0.2664 0.7500  5 Ta 2.77-2.86
Te 0.0000 0.7336 0.2500  5 Ta 2.77-2.86
Te 0.2664 0.0000 0.7500  5 Ta 2.77-2.86
Te 0.2664 0.2664 0.2500  5 Ta 2.77-2.86
Te 0.3333 0.6667 0.0000  6 Ta 3.06
Te 0.3333 0.6667 0.5000  6 Ta 3.06
Te 0.6667 0.3333 0.0000  6 Ta 3.06
Te 0.6667 0.3333 0.5000  6 Ta 3.06
Te 0.7336 0.0000 0.2500  5 Ta 2.77-2.86
Te 0.7336 0.7336 0.7500  5 Ta 2.77-2.86

Computed properties:
The energy relative to the elements, uncorrected comes out at 0.44 eV per atom. Its energy above the lowest structure with this stoichiometry is 0 meV per atom. The value obtained for the uncorrected energy is -118.28 eV/cell. Its space group is No. 193.

(9)
Density functional theory data (GGA-PBE) for an optimized crystal structure of BeRhBr2.

Lattice parameters (Å, degrees): 4.8580 4.8580 4.8413 117.89 117.89 93.63
With the nearest neighbours (Å) after each atom.
Atoms (fractional coordinates):
Be 0.0000 0.0000 0.0000  4 Br 2.50
Rh 0.5000 0.5000 0.0000  4 Br 2.50
Br 0.0000 0.5000 0.5000  2 Be 2.50, 2 Rh 2.50
Br 0.5000 0.0000 0.5000  2 Be 2.50, 2 Rh 2.50

Computed properties:
The energy relative to the elements, uncorrected comes out at 0.45 eV per atom. Its energy above the lowest structure with this stoichiometry is 859 meV per atom. The value obtained for the uncorrected energy is -12.61 eV/cell. Its space group is No. 12.

(10)
Density functional theory data (GGA-PBE) for an optimized crystal structure of PmDy3Ho.

Lattice parameters (Å, degrees): 6.2947 5.6658 9.6075 90.00 109.08 90.00
With the nearest neighbours (Å) after each atom.
Atoms (fractional coordinates):
Pm 0.0681 0.2500 0.2999  10 Dy 3.53-3.65, 2 Ho 3.63-3.64
Pm 0.9319 0.7500 0.7001  10 Dy 3.53-3.65, 2 Ho 3.63-3.64
Dy 0.1343 0.7500 0.0984  5 Dy 3.52-3.65, 4 Ho 3.52-3.64, 3 Pm 3.53-3.62
Dy 0.2672 0.2500 0.7016  3 Ho 3.52-3.61, 3 Pm 3.53-3.65, 6 Dy 3.53-3.65
Dy 0.3355 0.7500 0.5008  7 Dy 3.51-3.65, 4 Pm 3.53-3.65, 1 Ho 3.63
Dy 0.6645 0.2500 0.4992  7 Dy 3.51-3.65, 4 Pm 3.53-3.65, 1 Ho 3.63
Dy 0.7328 0.7500 0.2984  3 Ho 3.52-3.61, 3 Pm 3.53-3.65, 6 Dy 3.53-3.65
Dy 0.8657 0.2500 0.9016  5 Dy 3.52-3.65, 4 Ho 3.52-3.64, 3 Pm 3.53-3.62
Ho 0.4667 0.2500 0.0991  2 Ho 3.51, 8 Dy 3.52-3.64, 2 Pm 3.63-3.64
Ho 0.5333 0.7500 0.9009  2 Ho 3.51, 8 Dy 3.52-3.64, 2 Pm 3.63-3.64

Computed properties:
The formation energy comes out at 0.013 eV/atom. Its energy above the lowest structure with this stoichiometry is 0 meV per atom. The value obtained for the uncorrected energy is -46.14 eV/cell. Its space group is No. 11.